(1)
Here is a crystal of LaAl2Br2 relaxed with PBEsol from Alexandria. Energies are from meta-GGA SCAN.

```
LaAl2Br2
1.0
4.3615 0.0000 0.0000
0.0000 7.7820 0.0000
0.0000 0.0000 7.7820
Br Al La
4 4 2
direct
0.5000 0.7155 0.7845 Br
0.5000 0.2155 0.7155 Br
0.5000 0.7845 0.2845 Br
0.5000 0.2845 0.2155 Br
0.0000 0.3815 0.8815 Al
0.0000 0.8815 0.6185 Al
0.0000 0.6185 0.1185 Al
0.0000 0.1185 0.3815 Al
0.0000 0.5000 0.5000 La
0.0000 0.0000 0.0000 La
```

Output
For the density of states at the Fermi level, the calculation gives 0.472 states/eV per atom. Its space group is P4/mbm, No. 127. As for the total magnetization: 0.000 μB per atom.

---

(2)
Here is a crystal of La10Al5Br4 relaxed with PBEsol from Alexandria. Energies are from meta-GGA SCAN.

```
La10Al5Br4
1.0
-6.8158 -0.7842 4.3263
3.1247 -6.4787 3.7483
8.0577 13.3040 7.5027
Al La Br
10 20 8
direct
0.5147 0.2541 0.2688 Al
0.2459 0.9853 0.7312 Al
0.9853 0.4853 0.7312 Al
0.0147 0.5147 0.2688 Al
0.2541 0.7541 0.2688 Al
0.7500 0.7500 0.5000 Al
0.2500 0.2500 0.5000 Al
0.4853 0.7459 0.7312 Al
0.7541 0.0147 0.2688 Al
0.7459 0.2459 0.7312 Al
0.9665 0.1267 0.5932 La
0.3468 0.3468 0.6935 La
0.6532 0.6532 0.3065 La
0.1267 0.6267 0.5932 La
0.3733 0.5335 0.4068 La
0.2596 0.7596 0.8597 La
0.7596 0.6001 0.8597 La
0.4665 0.9665 0.5932 La
0.0335 0.8733 0.4068 La
0.1001 0.2596 0.8597 La
0.8468 0.8468 0.6935 La
0.3999 0.8999 0.1403 La
0.2404 0.3999 0.1403 La
0.1532 0.1532 0.3065 La
0.7404 0.2404 0.1403 La
0.6001 0.1001 0.8597 La
0.8999 0.7404 0.1403 La
0.6267 0.4665 0.5932 La
0.5335 0.0335 0.4068 La
0.8733 0.3733 0.4068 La
0.4438 0.4438 0.8876 Br
0.8588 0.3588 0.0000 Br
0.0562 0.0562 0.1124 Br
0.5562 0.5562 0.1124 Br
0.6412 0.8588 0.0000 Br
0.1412 0.6412 0.0000 Br
0.3588 0.1412 0.0000 Br
0.9438 0.9438 0.8876 Br
```

Output
For the density of states at the Fermi level, the calculation gives 0.580 states/eV per atom. Its space group is I4/mcm, No. 140. As for the total magnetization: 0.000 μB per atom.

---

(3)
Here is a crystal of Li2LaAlBr relaxed with PBEsol from Alexandria. Energies are from meta-GGA SCAN.

```
Li2LaAlBr
1.0
-1.3312 -4.7029 3.0255
-2.4419 -2.5627 -5.0580
5.4870 -2.4566 -1.4043
Li Br La Al
2 1 1 1
direct
0.0000 0.5000 0.0000 Li
0.0000 0.0000 0.5000 Li
0.5000 0.5000 0.5000 Br
0.0000 0.0000 0.0000 La
0.5000 0.0000 0.0000 Al
```

Output
For the density of states at the Fermi level, the calculation gives 0.705 states/eV per atom. Its space group is P4/mmm, No. 123. As for the total magnetization: 0.760 μB per atom.

---

(4)
Here is a crystal of Li2AlBr relaxed with PBEsol from Alexandria. Energies are from meta-GGA SCAN.

```
Li2AlBr
1.0
3.5977 0.0000 0.0000
0.0000 3.8612 0.0000
0.0000 0.0000 6.0014
Br Li Al
1 2 1
direct
0.0000 0.5000 0.5000 Br
0.0000 0.0000 0.0000 Li
0.5000 0.0000 0.5000 Li
0.5000 0.5000 0.0000 Al
```

Output
For the density of states at the Fermi level, the calculation gives 0.216 states/eV per atom. Its space group is Pmmm, No. 47. The calculation puts the energy above the most stable polymorph in this dataset at 84 meV per atom. As for the total magnetization: 0.000 μB per atom.

---

(5)
Here is a crystal of LiAl3Br relaxed with PBEsol from Alexandria. Energies are from meta-GGA SCAN.

```
LiAl3Br
1.0
-0.2429 -0.7154 4.6557
2.7252 -3.8238 -0.4454
3.8420 2.6671 0.6102
Al Br Li
3 1 1
direct
0.0000 0.0000 0.5000 Al
0.0000 0.5000 0.0000 Al
0.5000 0.0000 0.0000 Al
0.5000 0.5000 0.5000 Br
0.0000 0.0000 0.0000 Li
```

Output
For the density of states at the Fermi level, the calculation gives 0.305 states/eV per atom. Its space group is Pm-3m, No. 221. As for the total magnetization: 0.000 μB per atom.

---

(6)
Here is a crystal of Li2AlBr relaxed with PBEsol from Alexandria. Energies are from meta-GGA SCAN.

```
Li2AlBr
1.0
-2.7460 0.4507 -1.7682
-2.4297 -0.0338 3.7646
1.7156 5.2492 -1.3264
Li Al Br
2 1 1
direct
0.5000 0.0000 0.5000 Li
0.0000 0.0000 0.0000 Li
0.5000 0.5000 0.0000 Al
0.0000 0.5000 0.5000 Br
```

Output
For the density of states at the Fermi level, the calculation gives 0.242 states/eV per atom. Its space group is P2/m, No. 10. The calculation puts the energy above the most stable polymorph in this dataset at 73 meV per atom. As for the total magnetization: 0.015 μB per atom.

---

(7)
Here is a crystal of LiAlBr4 relaxed with PBEsol from Alexandria. Energies are from meta-GGA SCAN.

```
LiAlBr4
1.0
-3.9875 -0.8979 4.8241
-6.0406 -1.4898 -1.1267
-2.1202 -5.8111 1.3095
Br Li Al
4 1 1
direct
0.3750 0.3750 0.3750 Br
0.3750 0.8751 0.3750 Br
0.3750 0.3750 0.8751 Br
0.8751 0.3750 0.3750 Br
0.7500 0.7500 0.7500 Li
0.0000 0.0000 0.0000 Al
```

Output
For the density of states at the Fermi level, the calculation gives 0.105 states/eV per atom. Its space group is F-43m, No. 216. As for the total magnetization: 0.335 μB per atom.

---

(8)
Here is a crystal of Li2AlBr relaxed with PBEsol from Alexandria. Energies are from meta-GGA SCAN.

```
Li2AlBr
1.0
3.4105 0.0000 0.0000
0.0000 3.4105 0.0000
0.0000 0.0000 7.6663
Al Li Br
1 2 1
direct
0.0000 0.0000 0.4064 Al
0.5000 0.5000 0.2278 Li
0.0000 0.0000 0.9732 Li
0.5000 0.5000 0.8926 Br
```

Output
For the density of states at the Fermi level, the calculation gives 0.340 states/eV per atom. Its space group is P4mm, No. 99. The calculation puts the energy above the most stable polymorph in this dataset at 0 meV per atom. As for the total magnetization: 0.059 μB per atom.

---

(9)
Here is a crystal of LiAlBr2 relaxed with PBEsol from Alexandria. Energies are from meta-GGA SCAN.

```
LiAlBr2
1.0
3.6260 0.0000 0.0000
0.0000 5.3134 -0.1218
0.0000 -2.5174 5.2315
Li Br Al
1 2 1
direct
0.0000 0.5036 0.4839 Li
0.0000 0.0147 0.9220 Br
0.5000 0.6758 0.2849 Br
0.5000 0.3059 0.8092 Al
```

Output
Its space group is Pm, No. 6. As for the total magnetization: 0.000 μB per atom.

---

(10)
Here is a crystal of LiAlBr3 relaxed with PBEsol from Alexandria. Energies are from meta-GGA SCAN.

```
LiAlBr3
1.0
-4.3938 -2.2089 0.2871
2.2236 -4.3870 0.2780
0.1311 0.3775 4.9099
Br Li Al
3 1 1
direct
0.0000 0.5000 0.0000 Br
0.5000 0.0000 0.0000 Br
0.0000 0.0000 0.5000 Br
0.0000 0.0000 0.0000 Li
0.5000 0.5000 0.5000 Al
```

Output
For the density of states at the Fermi level, the calculation gives 0.984 states/eV per atom. Its space group is Pm-3m, No. 221. As for the total magnetization: 0.181 μB per atom.

---

(11)
Here is a crystal of Li2AlSnBr relaxed with PBEsol from Alexandria. Energies are from meta-GGA SCAN.

```
Li2AlSnBr
1.0
5.0307 0.0000 0.0000
0.0000 5.0307 0.0000
0.0000 0.0000 5.2841
Li Br Al Sn
2 1 1 1
direct
0.5000 0.0000 0.0000 Li
0.0000 0.5000 0.0000 Li
0.0000 0.0000 0.5000 Br
0.0000 0.0000 0.0000 Al
0.5000 0.5000 0.5000 Sn
```

Output
For the density of states at the Fermi level, the calculation gives 1.136 states/eV per atom. Its space group is P4/mmm, No. 123. As for the total magnetization: 0.000 μB per atom.

---

(12)
Here is a crystal of Mg2AlBr relaxed with PBEsol from Alexandria. Energies are from meta-GGA SCAN.

```
Mg2AlBr
1.0
4.6026 0.0000 0.0000
0.0000 4.6026 0.0000
-2.3013 -2.3013 4.2878
Br Mg Al
1 2 1
direct
0.0000 0.0000 0.0000 Br
0.2500 0.7500 0.5000 Mg
0.7500 0.2500 0.5000 Mg
0.5000 0.5000 0.0000 Al
```

Output
For the density of states at the Fermi level, the calculation gives 0.598 states/eV per atom. Its space group is I4/mmm, No. 139. The calculation puts the energy above the most stable polymorph in this dataset at 476 meV per atom. As for the total magnetization: 0.000 μB per atom.

---

(13)
Here is a crystal of Mg2AlBr relaxed with PBEsol from Alexandria. Energies are from meta-GGA SCAN.

```
Mg2AlBr
1.0
-1.9967 2.1064 2.1306
-0.9299 -1.1314 3.2891
5.6391 3.5734 4.7941
Mg Al Br
2 1 1
direct
0.7532 0.7532 0.7403 Mg
0.2468 0.2468 0.2597 Mg
0.5000 0.5000 0.5000 Al
0.0000 0.0000 0.0000 Br
```

Output
For the density of states at the Fermi level, the calculation gives 0.294 states/eV per atom. Its space group is R-3m, No. 166. The calculation puts the energy above the most stable polymorph in this dataset at 0 meV per atom. As for the total magnetization: 0.000 μB per atom.

---

Electronic total energy, respectively: -197.60, -1130.31, -71.11, -33.46, -42.89, -33.50, -87.22, -33.79, -52.59, -70.87, -65.88, -36.60, -38.50 eV/cell.
Energy relative to the elements, uncorrected, respectively: -0.254, -0.921, 0.797, -0.367, 0.444, -0.377, 0.126, -0.451, -0.881, -0.470, 0.406, 0.140, -0.336 eV per atom.